Entry 1:
A plane-wave DFT calculation with SCAN was carried out for a crystal of PbSeCl2 relaxed with PBEsol.

Output
Energy relative to the elements, uncorrected: -127 kJ/mol of formula units
Magnetic moment: 4.0 Bohr magnetons per cell
Relative energy among the computed polymorphs: 0 meV/atom

Lattice parameters (Å, degrees): 6.596 6.596 6.596 103.97 103.97 121.14
Sites, in units of the cell vectors:
Pb 0.000 0.000 0.000
Pb 0.750 0.250 0.500
Se 0.250 0.750 0.500
Se 0.500 0.500 0.000
Cl 0.098 0.125 0.473
Cl 0.375 0.902 0.027
Cl 0.652 0.625 0.527
Cl 0.875 0.348 0.973

Entry 2:
A plane-wave DFT calculation with SCAN was carried out for a crystal of SrPbSeCl2 relaxed with PBEsol.

Output
Energy relative to the elements, uncorrected: -429 kJ/mol of formula units
Magnetic moment: 0.0 Bohr magnetons per cell

Lattice parameters (Å, degrees): 5.151 5.151 12.891 90.00 90.00 90.00
Sites, in units of the cell vectors:
Sr 0.000 0.000 0.000
Pb 0.000 0.000 0.500
Se 0.500 0.500 0.500
Cl 0.000 0.500 0.000
Cl 0.500 0.000 0.000

Entry 3:
A plane-wave DFT calculation with SCAN was carried out for a crystal of SiPbCl relaxed with PBEsol.

Output
Energy relative to the elements, uncorrected: 81 kJ/mol of formula units
Magnetic moment: 0.0 Bohr magnetons per cell
Relative energy among the computed polymorphs: 18 meV/atom

Lattice parameters (Å, degrees): 6.862 6.862 6.862 152.72 152.72 38.96
Sites, in units of the cell vectors:
Si 0.000 0.000 0.000
Pb 0.335 0.335 0.000
Cl 0.634 0.634 0.000

Entry 4:
A plane-wave DFT calculation with SCAN was carried out for a crystal of Si2PbCl relaxed with PBEsol.

Output
Energy relative to the elements, uncorrected: 224 kJ/mol of formula units
Magnetic moment: 0.0 Bohr magnetons per cell
Relative energy among the computed polymorphs: 565 meV/atom

Lattice parameters (Å, degrees): 6.068 6.068 3.032 90.00 90.00 128.17
Sites, in units of the cell vectors:
Si 0.000 0.500 0.000
Si 0.500 0.000 0.000
Pb 0.000 0.000 0.500
Cl 0.500 0.500 0.500

Entry 5:
A plane-wave DFT calculation with SCAN was carried out for a crystal of SiPb2Cl relaxed with PBEsol.

Output
Energy relative to the elements, uncorrected: 30 kJ/mol of formula units
Magnetic moment: 0.0 Bohr magnetons per cell
Relative energy among the computed polymorphs: 0 meV/atom

Lattice parameters (Å, degrees): 9.767 9.767 9.767 20.24 20.24 20.24
Sites, in units of the cell vectors:
Si 0.000 0.000 0.000
Pb 0.249 0.249 0.249
Pb 0.751 0.751 0.751
Cl 0.500 0.500 0.500

Entry 6:
A plane-wave DFT calculation with SCAN was carried out for a crystal of SiPb2Cl relaxed with PBEsol.

Output
Energy relative to the elements, uncorrected: 86 kJ/mol of formula units
Magnetic moment: 0.0 Bohr magnetons per cell
Relative energy among the computed polymorphs: 144 meV/atom

Lattice parameters (Å, degrees): 5.133 5.133 5.133 60.00 60.00 60.00
Sites, in units of the cell vectors:
Si 0.000 0.000 0.000
Pb 0.500 0.500 0.500
Pb 0.750 0.750 0.750
Cl 0.250 0.250 0.250

Entry 7:
A plane-wave DFT calculation with SCAN was carried out for a crystal of Si2PbCl relaxed with PBEsol.

Output
Energy relative to the elements, uncorrected: 179 kJ/mol of formula units
Magnetic moment: 0.0 Bohr magnetons per cell
Relative energy among the computed polymorphs: 450 meV/atom

Lattice parameters (Å, degrees): 6.559 6.559 6.559 145.69 145.69 49.31
Sites, in units of the cell vectors:
Si 0.250 0.750 0.500
Si 0.750 0.250 0.500
Pb 0.000 0.000 0.000
Cl 0.500 0.500 0.000

Entry 8:
A plane-wave DFT calculation with SCAN was carried out for a crystal of Si2PbCl relaxed with PBEsol.

Output
Energy relative to the elements, uncorrected: 129 kJ/mol of formula units
Magnetic moment: 0.0 Bohr magnetons per cell
Relative energy among the computed polymorphs: 319 meV/atom

Lattice parameters (Å, degrees): 12.254 12.254 12.254 161.50 161.50 26.28
Sites, in units of the cell vectors:
Si 0.059 0.625 0.934
Si 0.375 0.309 0.434
Si 0.691 0.125 0.066
Si 0.875 0.941 0.566
Pb 0.000 0.000 0.000
Pb 0.750 0.250 0.500
Cl 0.250 0.750 0.500
Cl 0.500 0.500 0.000

Entry 9:
A plane-wave DFT calculation with SCAN was carried out for a crystal of Si2PbCl relaxed with PBEsol.

Output
Energy relative to the elements, uncorrected: 6 kJ/mol of formula units
Magnetic moment: 0.0 Bohr magnetons per cell
Relative energy among the computed polymorphs: 0 meV/atom

Lattice parameters (Å, degrees): 4.527 3.816 5.870 90.00 112.66 90.00
Sites, in units of the cell vectors:
Si 0.000 0.000 0.000
Si 0.305 0.500 0.016
Pb 0.557 0.500 0.645
Cl 0.924 0.000 0.343

Entry 10:
A plane-wave DFT calculation with SCAN was carried out for a crystal of SiPbCl relaxed with PBEsol.

Output
Energy relative to the elements, uncorrected: 76 kJ/mol of formula units
Magnetic moment: 0.0 Bohr magnetons per cell
Relative energy among the computed polymorphs: 0 meV/atom

Lattice parameters (Å, degrees): 4.905 4.905 3.167 90.00 90.00 120.00
Sites, in units of the cell vectors:
Si 0.000 0.000 0.000
Pb 0.667 0.333 0.500
Cl 0.333 0.667 0.000

Entry 11:
A plane-wave DFT calculation with SCAN was carried out for a crystal of SnPb2Cl relaxed with PBEsol.

Output
Energy relative to the elements, uncorrected: -102 kJ/mol of formula units
Magnetic moment: 0.0 Bohr magnetons per cell

Lattice parameters (Å, degrees): 5.287 5.287 5.287 60.00 60.00 60.00
Sites, in units of the cell vectors:
Sn 0.000 0.000 0.000
Pb 0.250 0.250 0.250
Pb 0.750 0.750 0.750
Cl 0.500 0.500 0.500

Entry 12:
A plane-wave DFT calculation with SCAN was carried out for a crystal of Sr2PbCl relaxed with PBEsol.

Output
Energy relative to the elements, uncorrected: -561 kJ/mol of formula units
Magnetic moment: 0.0 Bohr magnetons per cell
Relative energy among the computed polymorphs: 0 meV/atom

Lattice parameters (Å, degrees): 5.830 5.830 3.884 90.00 90.00 90.00
Sites, in units of the cell vectors:
Sr 0.000 0.500 0.000
Sr 0.500 0.000 0.000
Pb 0.000 0.000 0.501
Cl 0.500 0.500 0.003

Entry 13:
A plane-wave DFT calculation with SCAN was carried out for a crystal of SrPb2Cl relaxed with PBEsol.

Output
Energy relative to the elements, uncorrected: -256 kJ/mol of formula units
Magnetic moment: 0.0 Bohr magnetons per cell
Relative energy among the computed polymorphs: 106 meV/atom

Lattice parameters (Å, degrees): 6.668 6.668 3.635 90.00 90.00 127.96
Sites, in units of the cell vectors:
Sr 0.000 0.000 0.000
Pb 0.000 0.500 0.500
Pb 0.500 0.000 0.500
Cl 0.500 0.500 0.000

Entry 14:
A plane-wave DFT calculation with SCAN was carried out for a crystal of SrPb2Cl relaxed with PBEsol.

Output
Energy relative to the elements, uncorrected: -297 kJ/mol of formula units
Magnetic moment: 0.0 Bohr magnetons per cell
Relative energy among the computed polymorphs: 0 meV/atom

Lattice parameters (Å, degrees): 3.778 5.763 5.872 90.00 90.00 90.00
Sites, in units of the cell vectors:
Sr 0.000 0.000 0.000
Pb 0.500 0.500 0.244
Pb 0.500 0.500 0.756
Cl 0.000 0.000 0.500

Entry 15:
A plane-wave DFT calculation with SCAN was carried out for a crystal of Sr2PbCl relaxed with PBEsol.

Output
Energy relative to the elements, uncorrected: -549 kJ/mol of formula units
Magnetic moment: 0.0 Bohr magnetons per cell
Relative energy among the computed polymorphs: 32 meV/atom

Lattice parameters (Å, degrees): 3.892 4.275 8.341 90.00 90.00 90.00
Sites, in units of the cell vectors:
Sr 0.000 0.000 0.228
Sr 0.000 0.000 0.772
Pb 0.500 0.500 0.000
Cl 0.500 0.000 0.500

Entry 16:
A plane-wave DFT calculation with SCAN was carried out for a crystal of Sr2PbCl relaxed with PBEsol.

Output
Energy relative to the elements, uncorrected: -413 kJ/mol of formula units
Magnetic moment: 0.0 Bohr magnetons per cell
Relative energy among the computed polymorphs: 384 meV/atom

Lattice parameters (Å, degrees): 7.347 7.347 7.347 144.22 144.22 51.50
Sites, in units of the cell vectors:
Sr 0.000 0.000 0.000
Sr 0.750 0.250 0.500
Pb 0.250 0.750 0.500
Cl 0.500 0.500 0.000

Entry 17:
A plane-wave DFT calculation with SCAN was carried out for a crystal of SrTaPbCl2 relaxed with PBEsol.

Output
Energy relative to the elements, uncorrected: 115 kJ/mol of formula units
Magnetic moment: 2.5 Bohr magnetons per cell

Lattice parameters (Å, degrees): 5.126 5.126 7.006 90.00 90.00 90.00
Sites, in units of the cell vectors:
Sr 0.000 0.000 0.000
Ta 0.500 0.500 0.500
Pb 0.000 0.000 0.500
Cl 0.000 0.500 0.000
Cl 0.500 0.000 0.000

Entry 18:
A plane-wave DFT calculation with SCAN was carried out for a crystal of TcPb2Cl relaxed with PBEsol.

Output
Energy relative to the elements, uncorrected: 190 kJ/mol of formula units
Magnetic moment: 2.8 Bohr magnetons per cell
Relative energy among the computed polymorphs: 179 meV/atom

Lattice parameters (Å, degrees): 5.318 5.318 5.318 128.44 128.44 75.91
Sites, in units of the cell vectors:
Tc 0.000 0.000 0.000
Pb 0.250 0.750 0.500
Pb 0.750 0.250 0.500
Cl 0.500 0.500 0.000

Entry 19:
A plane-wave DFT calculation with SCAN was carried out for a crystal of Tc2PbCl relaxed with PBEsol.

Output
Energy relative to the elements, uncorrected: 402 kJ/mol of formula units
Magnetic moment: 2.5 Bohr magnetons per cell
Relative energy among the computed polymorphs: 297 meV/atom

Lattice parameters (Å, degrees): 4.609 4.609 4.609 60.00 60.00 60.00
Sites, in units of the cell vectors:
Tc 0.000 0.000 0.000
Tc 0.250 0.250 0.250
Pb 0.750 0.750 0.750
Cl 0.500 0.500 0.500

Entry 20:
A plane-wave DFT calculation with SCAN was carried out for a crystal of TcPb2Cl relaxed with PBEsol.

Output
Energy relative to the elements, uncorrected: 121 kJ/mol of formula units
Magnetic moment: 2.0 Bohr magnetons per cell
Relative energy among the computed polymorphs: 0 meV/atom

Lattice parameters (Å, degrees): 3.269 3.269 10.025 90.00 90.00 122.14
Sites, in units of the cell vectors:
Tc 0.000 0.000 0.000
Pb 0.000 0.000 0.532
Pb 0.500 0.500 0.235
Cl 0.500 0.500 0.829

Entry 21:
A plane-wave DFT calculation with SCAN was carried out for a crystal of Tc2PbCl relaxed with PBEsol.

Output
Energy relative to the elements, uncorrected: 287 kJ/mol of formula units
Magnetic moment: 0.0 Bohr magnetons per cell
Relative energy among the computed polymorphs: 0 meV/atom

Lattice parameters (Å, degrees): 4.355 4.355 5.719 101.21 101.21 39.67
Sites, in units of the cell vectors:
Tc 0.247 0.247 0.187
Tc 0.753 0.753 0.813
Pb 0.000 0.000 0.500
Cl 0.500 0.500 0.000

Entry 22:
A plane-wave DFT calculation with SCAN was carried out for a crystal of TePbCl relaxed with PBEsol.

Output
Energy relative to the elements, uncorrected: -114 kJ/mol of formula units
Magnetic moment: 0.0 Bohr magnetons per cell

Lattice parameters (Å, degrees): 3.885 3.885 6.980 90.00 90.00 120.00
Sites, in units of the cell vectors:
Te 0.000 0.000 0.000
Pb 0.667 0.333 0.316
Cl 0.333 0.667 0.580

Entry 23:
A plane-wave DFT calculation with SCAN was carried out for a crystal of TePbCl2 relaxed with PBEsol.

Output
Energy relative to the elements, uncorrected: -215 kJ/mol of formula units
Magnetic moment: 0.0 Bohr magnetons per cell
Relative energy among the computed polymorphs: 0 meV/atom

Lattice parameters (Å, degrees): 3.377 3.377 10.420 90.00 90.00 90.00
Sites, in units of the cell vectors:
Te 0.000 0.000 0.000
Pb 0.000 0.000 0.500
Cl 0.500 0.500 0.335
Cl 0.500 0.500 0.665

Entry 24:
A plane-wave DFT calculation with SCAN was carried out for a crystal of TePb2Cl relaxed with PBEsol.

Output
Energy relative to the elements, uncorrected: -113 kJ/mol of formula units
Magnetic moment: 0.0 Bohr magnetons per cell
Relative energy among the computed polymorphs: 197 meV/atom

Lattice parameters (Å, degrees): 9.704 9.704 9.704 23.37 23.37 23.37
Sites, in units of the cell vectors:
Te 0.000 0.000 0.000
Pb 0.267 0.267 0.267
Pb 0.500 0.500 0.500
Cl 0.768 0.768 0.768

Entry 25:
A plane-wave DFT calculation with SCAN was carried out for a crystal of TePbCl3 relaxed with PBEsol.

Output
Energy relative to the elements, uncorrected: -66 kJ/mol of formula units
Magnetic moment: 1.1 Bohr magnetons per cell

Lattice parameters (Å, degrees): 5.358 5.358 5.358 90.00 90.00 90.00
Sites, in units of the cell vectors:
Te 0.000 0.000 0.000
Pb 0.500 0.500 0.500
Cl 0.000 0.000 0.500
Cl 0.000 0.500 0.000
Cl 0.500 0.000 0.000

Entry 26:
A plane-wave DFT calculation with SCAN was carried out for a crystal of TePbCl2 relaxed with PBEsol.

Output
Energy relative to the elements, uncorrected: -154 kJ/mol of formula units
Magnetic moment: 0.0 Bohr magnetons per cell
Relative energy among the computed polymorphs: 158 meV/atom

Lattice parameters (Å, degrees): 5.923 5.923 5.923 145.69 118.97 71.91
Sites, in units of the cell vectors:
Te 0.000 0.000 0.000
Pb 0.500 0.500 0.000
Cl 0.261 0.761 0.500
Cl 0.739 0.239 0.500

Entry 27:
A plane-wave DFT calculation with SCAN was carried out for a crystal of TePbCl2 relaxed with PBEsol.

Output
Energy relative to the elements, uncorrected: -93 kJ/mol of formula units
Magnetic moment: 0.0 Bohr magnetons per cell
Relative energy among the computed polymorphs: 315 meV/atom

Lattice parameters (Å, degrees): 9.695 9.695 9.695 21.54 21.54 21.54
Sites, in units of the cell vectors:
Te 0.000 0.000 0.000
Pb 0.757 0.757 0.757
Cl 0.260 0.260 0.260
Cl 0.491 0.491 0.491

Entry 28:
A plane-wave DFT calculation with SCAN was carried out for a crystal of TePb2Cl relaxed with PBEsol.

Output
Energy relative to the elements, uncorrected: -189 kJ/mol of formula units
Magnetic moment: 0.0 Bohr magnetons per cell
Relative energy among the computed polymorphs: 0 meV/atom

Lattice parameters (Å, degrees): 4.930 4.930 6.669 104.59 104.59 49.29
Sites, in units of the cell vectors:
Te 0.000 0.000 0.000
Pb 0.251 0.251 0.739
Pb 0.749 0.749 0.261
Cl 0.500 0.500 0.500

Entry 29:
A plane-wave DFT calculation with SCAN was carried out for a crystal of TlPb2Cl relaxed with PBEsol.

Output
Energy relative to the elements, uncorrected: -92 kJ/mol of formula units
Magnetic moment: 0.0 Bohr magnetons per cell
Relative energy among the computed polymorphs: 34 meV/atom

Lattice parameters (Å, degrees): 6.323 6.323 6.323 137.88 137.88 61.09
Sites, in units of the cell vectors:
Tl 0.000 0.000 0.000
Pb 0.250 0.750 0.500
Pb 0.750 0.250 0.500
Cl 0.500 0.500 0.000

Entry 30:
A plane-wave DFT calculation with SCAN was carried out for a crystal of TlPb2Cl relaxed with PBEsol.

Output
Energy relative to the elements, uncorrected: -93 kJ/mol of formula units
Magnetic moment: 0.0 Bohr magnetons per cell
Relative energy among the computed polymorphs: 30 meV/atom

Lattice parameters (Å, degrees): 4.507 4.507 5.549 90.00 90.00 90.00
Sites, in units of the cell vectors:
Tl 0.000 0.000 0.000
Pb 0.000 0.500 0.500
Pb 0.500 0.000 0.500
Cl 0.500 0.500 0.000